<w>
# NaScCuO2 (PBE, relaxed)
# **Size of the total moment**: 0.0 μB/cell
# **Calculated volume**: 168.6 Å³/cell
# **D(E_F)**: 5.279 states/eV per cell
data_NaScCuO2
_cell_length_a 5.927
_cell_length_b 4.742
_cell_length_c 6.008
_cell_angle_alpha 90.00
_cell_angle_beta 93.32
_cell_angle_gamma 90.00
_symmetry_space_group_name_H-M 'P 1 2/c 1'
_symmetry_Int_Tables_number 13
loop_
_symmetry_equiv_pos_as_xyz
'x,y,z'
'-x,-y,-z'
'-x,y,-z+1/2'
'x,-y,z+1/2'
loop_
_atom_site_label
_atom_site_fract_x
_atom_site_fract_y
_atom_site_fract_z
Na1 0.000 0.162 0.250
Sc1 0.500 0.012 0.750
Cu1 0.500 0.500 0.000
O1 0.289 0.134 0.992

***

<x>
# NaScCuO2 (PBE, relaxed)
# **Size of the total moment**: 0.0 μB/cell
# **Calculated volume**: 117.0 Å³/cell
# **D(E_F)**: 3.473 states/eV per cell
data_NaScCuO2
_cell_length_a 3.995
_cell_length_b 3.995
_cell_length_c 7.330
_cell_angle_alpha 90.00
_cell_angle_beta 90.00
_cell_angle_gamma 90.00
_symmetry_space_group_name_H-M 'P 4/m m m'
_symmetry_Int_Tables_number 123
_symmetry_space_group_name_Hall '-P 4 2'
loop_
_atom_site_label
_atom_site_fract_x
_atom_site_fract_y
_atom_site_fract_z
Na1 0.000 0.000 0.000
Sc1 0.000 0.000 0.500
Cu1 0.500 0.500 0.000
O1 0.000 0.500 0.500

***

Most stable: <w>. Least stable: <x>.

***

<w>
# NaSr2CuO (PBE, relaxed)
# **Size of the total moment**: 0.0 μB/cell
# **Calculated volume**: 140.4 Å³/cell
# **D(E_F)**: 2.103 states/eV per cell
data_NaSr2CuO
_cell_length_a 5.942
_cell_length_b 5.942
_cell_length_c 3.977
_cell_angle_alpha 90.00
_cell_angle_beta 90.00
_cell_angle_gamma 90.00
_symmetry_space_group_name_H-M 'P 4/m m m'
_symmetry_Int_Tables_number 123
_symmetry_space_group_name_Hall '-P 4 2'
loop_
_atom_site_label
_atom_site_fract_x
_atom_site_fract_y
_atom_site_fract_z
Na1 0.000 0.000 0.000
Sr1 0.000 0.500 0.000
Cu1 0.500 0.500 0.500
O1 0.000 0.000 0.500

***

<x>
# NaSr2CuO (PBE, relaxed)
# **Size of the total moment**: 0.0 μB/cell
# **Calculated volume**: 122.0 Å³/cell
# **D(E_F)**: 1.795 states/eV per cell
data_NaSr2CuO
_cell_length_a 5.094
_cell_length_b 5.094
_cell_length_c 4.701
_cell_angle_alpha 90.00
_cell_angle_beta 90.00
_cell_angle_gamma 90.00
_symmetry_space_group_name_H-M 'P 4/m m m'
_symmetry_Int_Tables_number 123
_symmetry_space_group_name_Hall '-P 4 2'
loop_
_atom_site_label
_atom_site_fract_x
_atom_site_fract_y
_atom_site_fract_z
Na1 0.000 0.000 0.000
Sr1 0.000 0.500 0.500
Cu1 0.500 0.500 0.000
O1 0.000 0.000 0.500

***

Most stable: <x>. Least stable: <w>.

***

<w>
# Na2Cu2TeO6 (PBE, relaxed)
# **Size of the total moment**: 2.0 μB/cell
# **Calculated volume**: 134.6 Å³/cell
# **D(E_F)**: 5.620 states/eV per cell
data_Na2Cu2TeO6
_cell_length_a 5.2927
_cell_length_b 5.2927
_cell_length_c 5.5472
_cell_angle_alpha 90.00
_cell_angle_beta 90.00
_cell_angle_gamma 120.00
_symmetry_space_group_name_H-M 'P -3 1 m'
_symmetry_Int_Tables_number 162
_symmetry_space_group_name_Hall '-P 3 2'
loop_
_atom_site_label
_atom_site_fract_x
_atom_site_fract_y
_atom_site_fract_z
Na1 0.3333 0.6667 0.0000
Cu1 0.3333 0.6667 0.5000
Te1 0.0000 0.0000 0.5000
O1 0.0000 0.3111 0.3041

***

<x>
# Na2Cu2TeO6 (PBE, relaxed)
# **Size of the total moment**: 4.0 μB/cell
# **Calculated volume**: 283.2 Å³/cell
# **D(E_F)**: 2.138 states/eV per cell
data_Na2Cu2TeO6
_cell_length_a 5.903
_cell_length_b 8.749
_cell_length_c 6.049
_cell_angle_alpha 90.00
_cell_angle_beta 114.99
_cell_angle_gamma 90.00
_symmetry_space_group_name_H-M 'C 1 2/m 1'
_symmetry_Int_Tables_number 12
loop_
_symmetry_equiv_pos_as_xyz
'x,y,z'
'-x,-y,-z'
'-x,y,-z'
'x,-y,z'
'x+1/2,y+1/2,z'
'-x+1/2,-y+1/2,-z'
'-x+1/2,y+1/2,-z'
'x+1/2,-y+1/2,z'
loop_
_atom_site_label
_atom_site_fract_x
_atom_site_fract_y
_atom_site_fract_z
Na1 0.000 0.186 0.000
Cu1 0.000 0.335 0.500
Te1 0.000 0.000 0.500
O1 0.186 0.164 0.718
O2 0.245 0.000 0.344

***

Most stable: <x>. Least stable: <w>.

***

<w>
# NaCuP2 (PBE, relaxed)
# **Size of the total moment**: 0.0 μB/cell
# **Calculated volume**: 252.5 Å³/cell
# **D(E_F)**: 7.878 states/eV per cell
data_NaCuP2
_cell_length_a 6.320
_cell_length_b 6.320
_cell_length_c 6.320
_cell_angle_alpha 90.00
_cell_angle_beta 90.00
_cell_angle_gamma 90.00
_symmetry_space_group_name_H-M 'F m -3 m'
_symmetry_Int_Tables_number 225
_symmetry_space_group_name_Hall '-F 4 2 3'
loop_
_atom_site_label
_atom_site_fract_x
_atom_site_fract_y
_atom_site_fract_z
Na1 0.000 0.000 0.000
Cu1 0.000 0.000 0.500
P1 0.250 0.250 0.250

***

<x>
# NaCuP2 (PBE, relaxed)
# **Size of the total moment**: 0.0 μB/cell
# **Calculated volume**: 305.6 Å³/cell
# **D(E_F)**: 9.476 states/eV per cell
data_NaCuP2
_cell_length_a 4.414
_cell_length_b 4.414
_cell_length_c 15.684
_cell_angle_alpha 90.00
_cell_angle_beta 90.00
_cell_angle_gamma 90.00
_symmetry_space_group_name_H-M 'I -4 2 d'
_symmetry_Int_Tables_number 122
_symmetry_space_group_name_Hall 'I -4 2bw'
loop_
_atom_site_label
_atom_site_fract_x
_atom_site_fract_y
_atom_site_fract_z
Na1 0.000 0.000 0.000
Cu1 0.000 0.000 0.500
P1 0.117 0.250 0.625

***

Most stable: <x>. Least stable: <w>.

***

<w>
# Na3CuPb (PBE, relaxed)
# **Size of the total moment**: 1.1 μB/cell
# **Calculated volume**: 207.0 Å³/cell
# **D(E_F)**: 4.133 states/eV per cell
data_Na3CuPb
_cell_length_a 5.916
_cell_length_b 5.916
_cell_length_c 5.916
_cell_angle_alpha 90.00
_cell_angle_beta 90.00
_cell_angle_gamma 90.00
_symmetry_space_group_name_H-M 'P m -3 m'
_symmetry_Int_Tables_number 221
_symmetry_space_group_name_Hall '-P 4 2 3'
loop_
_atom_site_label
_atom_site_fract_x
_atom_site_fract_y
_atom_site_fract_z
Na1 0.000 0.000 0.500
Cu1 0.500 0.500 0.500
Pb1 0.000 0.000 0.000

***

<x>
# Na3CuPb (PBE, relaxed)
# **Size of the total moment**: 0.0 μB/cell
# **Calculated volume**: 153.5 Å³/cell
# **D(E_F)**: 2.688 states/eV per cell
data_Na3CuPb
_cell_length_a 5.354
_cell_length_b 5.354
_cell_length_c 5.354
_cell_angle_alpha 90.00
_cell_angle_beta 90.00
_cell_angle_gamma 90.00
_symmetry_space_group_name_H-M 'P m -3 m'
_symmetry_Int_Tables_number 221
_symmetry_space_group_name_Hall '-P 4 2 3'
loop_
_atom_site_label
_atom_site_fract_x
_atom_site_fract_y
_atom_site_fract_z
Na1 0.000 0.000 0.500
Cu1 0.000 0.000 0.000
Pb1 0.500 0.500 0.500

***

Most stable: <x>. Least stable: <w>.

***

<w>
# NaCuPb3 (PBE, relaxed)
# **Size of the total moment**: 0.0 μB/cell
# **Calculated volume**: 153.6 Å³/cell
# **D(E_F)**: 2.318 states/eV per cell
data_NaCuPb3
_cell_length_a 5.356
_cell_length_b 5.356
_cell_length_c 5.356
_cell_angle_alpha 90.00
_cell_angle_beta 90.00
_cell_angle_gamma 90.00
_symmetry_space_group_name_H-M 'P m -3 m'
_symmetry_Int_Tables_number 221
_symmetry_space_group_name_Hall '-P 4 2 3'
loop_
_atom_site_label
_atom_site_fract_x
_atom_site_fract_y
_atom_site_fract_z
Na1 0.000 0.000 0.000
Cu1 0.500 0.500 0.500
Pb1 0.000 0.500 0.500

***

<x>
# NaCuPb3 (PBE, relaxed)
# **Size of the total moment**: 0.0 μB/cell
# **Calculated volume**: 167.5 Å³/cell
# **D(E_F)**: 1.127 states/eV per cell
data_NaCuPb3
_cell_length_a 5.512
_cell_length_b 5.512
_cell_length_c 5.512
_cell_angle_alpha 90.00
_cell_angle_beta 90.00
_cell_angle_gamma 90.00
_symmetry_space_group_name_H-M 'P m -3 m'
_symmetry_Int_Tables_number 221
_symmetry_space_group_name_Hall '-P 4 2 3'
loop_
_atom_site_label
_atom_site_fract_x
_atom_site_fract_y
_atom_site_fract_z
Na1 0.000 0.000 0.000
Cu1 0.500 0.500 0.500
Pb1 0.000 0.000 0.500

***

Most stable: <w>. Least stable: <x>.